## CaDyGa2Pt2 (PBE)

Data for a relaxed CaDyGa2Pt2 crystal.

The energy of formation is -5.9 eV per formula unit. The calculation puts the electronic total energy at -5.107 eV/atom. The crystal system is trigonal. Its space group is P-3m1.

abc: 4.426 4.426 7.397
angles: 90.00 90.00 120.00
Atoms (fractional coordinates):
Ga (0.667, 0.333, 0.264)
Dy (0.000, 0.000, 0.500)
Pt (0.667, 0.333, 0.724)
Pt (0.333, 0.667, 0.276)
Ga (0.333, 0.667, 0.736)
Ca (0.000, 0.000, 0.000)